Entry 1:
An optimized crystal structure of PmU2Ru5. Source: Alexandria via LeMat-Bulk, functional PBE-GGA.

a = 4.4449 Å, b = 6.9028 Å, c = 6.9028 Å
α = 50.13°, β = 71.22°, γ = 71.22°
Atoms (fractional coordinates):
Ru  0.6177  0.6115  0.1531
Ru  0.3823  0.3885  0.8469
Ru  0.0000  0.5000  0.5000
Ru  0.3823  0.8469  0.3885
Ru  0.6177  0.1531  0.6115
Pm  0.0000  0.0000  0.0000
U  0.7706  0.7294  0.7294
U  0.2294  0.2706  0.2706

## Properties
The calculated density comes out at 12.31 g/cm³. The uncorrected energy comes out at -0.348 Ha/atom. Its formation energy is -0.252 eV/atom.

---

Entry 2:
An optimized crystal structure of CsCa2WCl. Source: Alexandria via LeMat-Bulk, functional PBE-GGA.

a = 5.4717 Å, b = 6.2661 Å, c = 5.4717 Å
α = 90.00°, β = 90.00°, γ = 90.00°
Atoms (fractional coordinates):
Ca  0.0000  0.0000  0.5000
Ca  0.5000  0.0000  0.0000
Cs  0.0000  0.5000  0.0000
W  0.5000  0.5000  0.5000
Cl  0.0000  0.0000  0.0000

## Properties
The calculated density comes out at 3.83 g/cm³. For the formation energy (no corrections), the calculation gives 0.647 eV/atom. The uncorrected energy comes out at -0.121 Ha/atom.

---

What did the second record say?
An optimized crystal structure of CsCa2WCl. Source: Alexandria via LeMat-Bulk, functional PBE-GGA.

a = 5.4717 Å, b = 6.2661 Å, c = 5.4717 Å
α = 90.00°, β = 90.00°, γ = 90.00°
Atoms (fractional coordinates):
Ca  0.0000  0.0000  0.5000
Ca  0.5000  0.0000  0.0000
Cs  0.0000  0.5000  0.0000
W  0.5000  0.5000  0.5000
Cl  0.0000  0.0000  0.0000

## Properties
The calculated density comes out at 3.83 g/cm³. For the formation energy (no corrections), the calculation gives 0.647 eV/atom. The uncorrected energy comes out at -0.121 Ha/atom.